# 1
VASP calculation (GGA-PBE) on crystalline Mo4RhCl at its relaxed geometry.

Unit cell a=5.236 b=5.236 c=5.236 alpha=60.00 beta=60.00 gamma=60.00
Element x y z (fractional)
Mo 0.375 0.375 0.375
Mo 0.875 0.375 0.375
Mo 0.375 0.875 0.375
Mo 0.375 0.375 0.875
Cl 0.000 0.000 0.000
Rh 0.750 0.750 0.750

Summary:
symmetry	F-43m (216)
formation energy (no corrections)	0.82	eV/atom
density of states at the Fermi level	4.2	states/eV/f.u.
final energy	-47.6	eV per cell

=====

# 2
VASP calculation (GGA-PBE) on crystalline Mo2RhCl at its relaxed geometry.

Unit cell a=4.870 b=4.870 c=7.294 alpha=58.04 beta=58.04 gamma=36.25
Element x y z (fractional)
Cl 0.750 0.750 0.750
Mo 0.026 0.026 0.106
Mo 0.474 0.474 0.394
Rh 0.250 0.250 0.250

Summary:
symmetry	C2/m (12)
formation energy (no corrections)	0.32	eV/atom
density of states at the Fermi level	1.5	states/eV/f.u.
final energy	-29.6	eV per cell

=====

# 3
VASP calculation (GGA-PBE) on crystalline Mo2RhCl at its relaxed geometry.

Unit cell a=5.219 b=5.059 c=2.832 alpha=81.28 beta=75.59 gamma=116.49
Element x y z (fractional)
Rh 0.000 0.500 0.500
Cl 0.500 0.500 0.000
Mo 0.000 0.000 0.000
Mo 0.500 0.000 0.500

Summary:
symmetry	C2/m (12)
formation energy (no corrections)	0.63	eV/atom
density of states at the Fermi level	4.0	states/eV/f.u.
final energy	-28.4	eV per cell

=====

Which of these has the highest final energy?
number 3

=====

Look up the formation energy (no corrections) of the third one.
0.63 eV/atom

=====

Number 3 is which compound?
Mo2RhCl